(1)
SCAN NbAlTeN2, PBEsol geometry; theoretical density = 5.8 g cm⁻³; ΔE_f (raw) = 0.76 eV/atom; SG = P4/mmm, No. 123
1.0
3.8392 0.0000 0.0000
0.0000 3.8392 0.0000
0.0000 0.0000 5.3142
Nb Te Al N
1 1 1 2
Direct
0.5000 0.5000 0.5000
0.0000 0.0000 0.5000
0.0000 0.0000 0.0000
0.0000 0.5000 0.0000
0.5000 0.0000 0.0000


(2)
SCAN Nd2AlNO3, PBEsol geometry; theoretical density = 7.4 g cm⁻³; ΔE_f (raw) = -3.09 eV/atom; SG = I4mm, No. 107
1.0
3.6952 0.0000 0.0000
0.0000 3.6952 0.0000
-1.8476 -1.8476 6.2224
Nd Al O N
2 1 3 1
Direct
0.3621 0.3621 0.7240
0.6502 0.6502 0.3002
0.0121 0.0121 0.0241
0.8402 0.8402 0.6803
0.9998 0.4999 0.9996
0.4999 0.9998 0.9996
0.1735 0.1735 0.3468


(3)
SCAN AlNiNO2, PBEsol geometry; theoretical density = 4.6 g cm⁻³; ΔE_f (raw) = -0.53 eV/atom; SG = P4/mmm, No. 123
1.0
3.5767 0.0000 0.0000
0.0000 3.5767 0.0000
0.0000 0.0000 3.7482
Ni Al O N
1 1 2 1
Direct
0.5000 0.5000 0.5000
0.0000 0.0000 0.0000
0.0000 0.5000 0.0000
0.5000 0.0000 0.0000
0.0000 0.0000 0.5000


(4)
SCAN AlNiNO2, PBEsol geometry; theoretical density = 4.6 g cm⁻³; ΔE_f (raw) = -0.10 eV/atom; SG = P4/mmm, No. 123
1.0
3.6847 0.0000 0.0000
0.0000 3.6847 0.0000
0.0000 0.0000 3.5298
Ni Al O N
1 1 2 1
Direct
0.0000 0.0000 0.0000
0.5000 0.5000 0.5000
0.0000 0.5000 0.0000
0.5000 0.0000 0.0000
0.0000 0.0000 0.5000


(5)
SCAN Al2NiPdN, PBEsol geometry; theoretical density = 4.0 g cm⁻³; ΔE_f (raw) = 1.19 eV/atom; SG = P4/mmm, No. 123
1.0
4.6129 0.0000 0.0000
0.0000 4.6129 0.0000
0.0000 0.0000 4.5579
Ni Al Pd N
1 2 1 1
Direct
0.0000 0.0000 0.5000
0.0000 0.5000 0.0000
0.5000 0.0000 0.0000
0.0000 0.0000 0.0000
0.5000 0.5000 0.5000


(6)
SCAN AlNiSeN2, PBEsol geometry; theoretical density = 4.8 g cm⁻³; ΔE_f (raw) = 0.89 eV/atom; SG = P4/mmm, No. 123
1.0
-2.3494 -2.4974 -1.2878
2.0914 -2.6753 1.3726
-2.5439 0.1967 4.2595
Ni Al Se N
1 1 1 2
Direct
0.0000 0.0000 0.0000
0.5000 0.5000 0.5000
0.0000 0.0000 0.5000
0.0000 0.5000 0.0000
0.5000 0.0000 0.0000


(7)
SCAN SrAlNi2N, PBEsol geometry; theoretical density = 5.7 g cm⁻³; ΔE_f (raw) = 0.23 eV/atom; SG = P4/mmm, No. 123
1.0
-0.0038 2.1617 -3.1319
0.7588 -3.5188 -2.4296
-4.2761 -0.6270 -0.4275
Sr N Al Ni
1 1 1 2
Direct
0.5000 0.5000 0.5000
0.0000 0.0000 0.0000
0.5000 0.0000 0.0000
0.0000 0.0000 0.5000
0.0000 0.5000 0.0000


(8)
SCAN Ti3Al2NiN, PBEsol geometry; theoretical density = 5.0 g cm⁻³; ΔE_f (raw) = -1.07 eV/atom; SG = Fd-3m, No. 227
1.0
-1.3890 7.1824 -3.1451
-3.4677 5.6661 4.3907
4.2249 6.2962 2.4323
Ti Al Ni N
12 8 4 4
Direct
0.6856 0.6856 0.3144
0.5644 0.9356 0.9356
0.9356 0.5644 0.5644
0.9356 0.9356 0.5644
0.9356 0.5644 0.9356
0.5644 0.9356 0.5644
0.3144 0.6856 0.3144
0.6856 0.3144 0.3144
0.3144 0.6856 0.6856
0.6856 0.3144 0.6856
0.5644 0.5644 0.9356
0.3144 0.3144 0.6856
0.9170 0.9170 0.2488
0.3330 0.0012 0.3330
0.3330 0.3330 0.3330
0.0012 0.3330 0.3330
0.9170 0.9170 0.9170
0.2488 0.9170 0.9170
0.9170 0.2488 0.9170
0.3330 0.3330 0.0012
0.1250 0.1250 0.6250
0.1250 0.6250 0.1250
0.1250 0.1250 0.1250
0.6250 0.1250 0.1250
0.6250 0.6250 0.1250
0.6250 0.1250 0.6250
0.6250 0.6250 0.6250
0.1250 0.6250 0.6250


(9)
SCAN Al17N3O21, PBEsol geometry; theoretical density = 3.7 g cm⁻³; ΔE_f (raw) = -3.07 eV/atom; SG = P1, No. 1
1.0
-4.4235 -3.5091 -0.5437
-0.0534 -1.2493 7.8426
-7.4659 4.1216 4.5415
Al O N
17 21 3
Direct
0.0027 0.0054 0.0052
0.4982 0.7428 0.9947
0.6741 0.6770 0.6683
0.2600 0.3683 0.9908
0.1616 0.4123 0.6605
0.3424 0.3365 0.3357
0.0794 0.7110 0.8273
0.7485 0.3703 0.9899
0.9044 0.0414 0.6733
0.8230 0.0799 0.3316
0.7317 0.3733 0.5102
0.4152 0.0477 0.6757
0.5820 0.7080 0.3340
0.2506 0.8824 0.4973
0.4315 0.0421 0.1574
0.0827 0.7085 0.3329
0.9080 0.5341 0.1719
0.0797 0.4570 0.8407
0.7472 0.1323 0.0074
0.9186 0.2876 0.6491
0.5735 0.4696 0.8474
0.7414 0.1287 0.5106
0.5839 0.9515 0.8225
0.2484 0.1276 0.0160
0.4175 0.2862 0.6604
0.3995 0.8005 0.6699
0.2467 0.1158 0.5109
0.2483 0.6358 0.4885
0.0888 0.9584 0.8292
0.4062 0.7922 0.1698
0.0940 0.9505 0.3298
0.2241 0.6148 0.9997
0.0767 0.4699 0.3278
0.7596 0.6227 0.4933
0.9208 0.7787 0.1738
0.9270 0.3063 0.1529
0.7692 0.6154 0.0000
0.4220 0.2943 0.1528
0.5611 0.9468 0.3331
0.9410 0.8058 0.6629
0.6029 0.4698 0.3335


(10)
SCAN AlN2O2, PBEsol geometry; theoretical density = 2.8 g cm⁻³; ΔE_f (raw) = 0.62 eV/atom; SG = P4/mmm, No. 123
1.0
-2.6408 1.5443 -1.8182
-2.3042 -0.9492 2.5405
0.7179 3.5604 1.9814
Al O N
1 2 2
Direct
0.0000 0.0000 0.0000
0.0000 0.5000 0.0000
0.5000 0.0000 0.0000
0.5000 0.5000 0.5000
0.0000 0.0000 0.5000


(11)
SCAN AlOsNO2, PBEsol geometry; theoretical density = 9.3 g cm⁻³; ΔE_f (raw) = -0.15 eV/atom; SG = P4/mmm, No. 123
1.0
3.5315 0.0000 0.0000
0.0000 3.5315 0.0000
0.0000 0.0000 3.7735
Os Al O N
1 1 2 1
Direct
0.5000 0.5000 0.5000
0.0000 0.0000 0.0000
0.0000 0.5000 0.0000
0.5000 0.0000 0.0000
0.0000 0.0000 0.5000


(12)
SCAN AlPNO2, PBEsol geometry; theoretical density = 2.4 g cm⁻³; ΔE_f (raw) = -0.16 eV/atom; SG = P4/mmm, No. 123
1.0
3.3398 0.0000 0.0000
0.0000 3.3398 0.0000
0.0000 0.0000 6.4106
P Al O N
1 1 2 1
Direct
0.0000 0.0000 0.5000
0.0000 0.0000 0.0000
0.0000 0.5000 0.0000
0.5000 0.0000 0.0000
0.5000 0.5000 0.5000